This record from Alexandria via LeMat-Bulk describes crystalline Ti3NiAs3 at its relaxed geometry. The functional is PBE.

theoretical density: 6.3 g cm⁻³
Fermi-level density of states: 0.740 states/eV per atom
total DFT energy (no corrections): -7.02 eV per atom
magnetic moment: 0.00 μB/cell

abc: 10.4884 3.7025 11.5844
angles: 90.00 90.00 90.00
Fractional positions:
Ti 0.0550 0.2500 0.1232
Ti 0.1427 0.7500 0.5020
Ti 0.2145 0.7500 0.7738
Ti 0.2855 0.2500 0.2738
Ti 0.3573 0.2500 0.0020
Ti 0.4450 0.7500 0.6232
Ti 0.5550 0.2500 0.3768
Ti 0.6427 0.7500 0.9980
Ti 0.7145 0.7500 0.7262
Ti 0.7855 0.2500 0.2262
Ti 0.8573 0.2500 0.4980
Ti 0.9450 0.7500 0.8768
Ni 0.0598 0.2500 0.6931
Ni 0.4402 0.7500 0.1931
Ni 0.5598 0.2500 0.8069
Ni 0.9402 0.7500 0.3069
As 0.0609 0.2500 0.3544
As 0.1221 0.2500 0.9048
As 0.2308 0.7500 0.1198
As 0.2692 0.2500 0.6198
As 0.3779 0.7500 0.4048
As 0.4391 0.7500 0.8544
As 0.5609 0.2500 0.1456
As 0.6221 0.2500 0.5952
As 0.7308 0.7500 0.3802
As 0.7692 0.2500 0.8802
As 0.8779 0.7500 0.0952
As 0.9391 0.7500 0.6456